The following is a DFT calculation (GGA-PBE) of TiInAg2Br after structural relaxation.

Cell: 5.1459 5.1459 4.7514 Å, 90.00 90.00 90.00°
Closest atoms and distances in Å follow each position.
Fractional positions:
Ti (0.0000, 0.0000, 0.0000)  2 Br 2.38
In (0.5000, 0.5000, 0.0000)  8 Ag 3.50, 4 Ti 3.64
Ag (0.0000, 0.5000, 0.5000)  2 Br 2.57
Ag (0.5000, 0.0000, 0.5000)  2 Br 2.57
Br (0.0000, 0.0000, 0.5000)  2 Ti 2.38, 4 Ag 2.57

**D(E_F)**: 5.31 states/eV/cell
**ΔE_f (raw)**: 316 kJ/mol of formula units
**Density**: 6.0 g/cm3
**Space-group type**: P4/mmm
**Crystal system**: tetragonal